--- one ---
## CrRePO2 (PBE with a Hubbard U)

Data for CrRePO2 after structural relaxation.

Cell: 3.7809 5.1580 3.7809 Å, 90.00 90.00 90.00°
Last column: magnetic moment on the atom in μB.
Atoms (fractional coordinates):
O (0.5000, 0.0000, 0.0000)  0.01
O (0.0000, 0.0000, 0.5000)  0.02
Cr (0.5000, 0.5000, 0.5000)  4.06
Re (0.0000, 0.0000, 0.0000)  0.19
P (0.0000, 0.5000, 0.0000)  -0.13

=====

--- two ---
## CrRePO2 (PBE with a Hubbard U)

Data for CrRePO2 after structural relaxation.

Cell: 3.5771 3.5771 6.0297 Å, 90.00 90.00 90.00°
Last column: magnetic moment on the atom in μB.
Atoms (fractional coordinates):
Re (0.5000, 0.5000, 0.5000)  2.47
O (0.5000, 0.0000, 0.0000)  -0.24
O (0.0000, 0.5000, 0.0000)  -0.24
Cr (0.0000, 0.0000, 0.0000)  2.53
P (0.0000, 0.0000, 0.5000)  -0.09

=====

Stability verdict: one, ahead by 768 meV per atom

=====

--- one ---
## CrP2RuO (PBE with a Hubbard U)

Data for CrP2RuO after structural relaxation.

Cell: 4.7787 4.7787 3.6254 Å, 90.00 90.00 90.00°
Last column: magnetic moment on the atom in μB.
Atoms (fractional coordinates):
P (0.0000, 0.5000, 0.0000)  0.00
P (0.5000, 0.0000, 0.0000)  0.00
Cr (0.5000, 0.5000, 0.5000)  0.60
Ru (0.0000, 0.0000, 0.0000)  -0.12
O (0.0000, 0.0000, 0.5000)  0.00

=====

--- two ---
## CrP2RuO (PBE with a Hubbard U)

Data for CrP2RuO after structural relaxation.

Cell: 4.6920 4.6920 3.4180 Å, 90.00 90.00 90.00°
Last column: magnetic moment on the atom in μB.
Atoms (fractional coordinates):
Ru (0.5000, 0.5000, 0.5000)  1.00
Cr (0.0000, 0.0000, 0.0000)  2.29
O (0.0000, 0.0000, 0.5000)  -0.26
P (0.5000, 0.0000, 0.0000)  -0.13
P (0.0000, 0.5000, 0.0000)  -0.13

=====

Stability verdict: two, ahead by 282 meV per atom

=====

--- one ---
## ScCrP2O (PBE with a Hubbard U)

Data for ScCrP2O after structural relaxation.

Cell: 5.1512 5.1512 3.7802 Å, 90.00 90.00 90.00°
Last column: magnetic moment on the atom in μB.
Atoms (fractional coordinates):
O (0.0000, 0.0000, 0.5000)  0.02
P (0.0000, 0.5000, 0.0000)  0.05
P (0.5000, 0.0000, 0.0000)  0.05
Cr (0.5000, 0.5000, 0.5000)  0.06
Sc (0.0000, 0.0000, 0.0000)  -0.02

=====

--- two ---
## ScCrP2O (PBE with a Hubbard U)

Data for ScCrP2O after structural relaxation.

Cell: 4.8120 4.8120 3.5464 Å, 90.00 90.00 90.00°
Last column: magnetic moment on the atom in μB.
Atoms (fractional coordinates):
P (0.5000, 0.0000, 0.0000)  -0.17
P (0.0000, 0.5000, 0.0000)  -0.17
Cr (0.0000, 0.0000, 0.0000)  2.41
Sc (0.5000, 0.5000, 0.5000)  0.00
O (0.0000, 0.0000, 0.5000)  -0.31

=====

Stability verdict: two, ahead by 709 meV per atom

=====

--- one ---
## ScCrPO2 (PBE with a Hubbard U)

Data for ScCrPO2 after structural relaxation.

Cell: 3.7535 3.7535 4.9688 Å, 90.00 90.00 90.00°
Last column: magnetic moment on the atom in μB.
Atoms (fractional coordinates):
Cr (0.0000, 0.0000, 0.0000)  2.51
P (0.0000, 0.0000, 0.5000)  -0.14
O (0.0000, 0.5000, 0.0000)  -0.15
O (0.5000, 0.0000, 0.0000)  -0.15
Sc (0.5000, 0.5000, 0.5000)  0.06

=====

--- two ---
## ScCrPO2 (PBE with a Hubbard U)

Data for ScCrPO2 after structural relaxation.

Cell: 3.9544 3.9544 5.4909 Å, 90.00 90.00 90.00°
Last column: magnetic moment on the atom in μB.
Atoms (fractional coordinates):
Sc (0.0000, 0.0000, 0.0000)  0.02
P (0.0000, 0.0000, 0.5000)  -0.44
O (0.0000, 0.5000, 0.0000)  -0.44
O (0.5000, 0.0000, 0.0000)  -0.44
Cr (0.5000, 0.5000, 0.5000)  3.93

=====

Stability verdict: one, ahead by 220 meV per atom

=====

--- one ---
## CrSiP2O (PBE with a Hubbard U)

Data for CrSiP2O after structural relaxation.

Cell: 4.7659 4.7659 3.5179 Å, 90.00 90.00 90.00°
Last column: magnetic moment on the atom in μB.
Atoms (fractional coordinates):
Cr (0.0000, 0.0000, 0.0000)  2.33
P (0.5000, 0.0000, 0.0000)  -0.23
P (0.0000, 0.5000, 0.0000)  -0.23
O (0.0000, 0.0000, 0.5000)  -0.29
Si (0.5000, 0.5000, 0.5000)  0.01

=====

--- two ---
## CrSiP2O (PBE with a Hubbard U)

Data for CrSiP2O after structural relaxation.

Cell: 4.8153 4.8153 3.2191 Å, 90.00 90.00 90.00°
Last column: magnetic moment on the atom in μB.
Atoms (fractional coordinates):
Cr (0.5000, 0.5000, 0.5000)  0.41
P (0.5000, 0.0000, 0.0000)  0.04
P (0.0000, 0.5000, 0.0000)  0.04
Si (0.0000, 0.0000, 0.0000)  0.00
O (0.0000, 0.0000, 0.5000)  -0.01

=====

Stability verdict: two, ahead by 63 meV per atom

=====

--- one ---
## CrSiPO2 (PBE with a Hubbard U)

Data for CrSiPO2 after structural relaxation.

Cell: 3.4085 3.4085 5.7027 Å, 90.00 90.00 90.00°
Last column: magnetic moment on the atom in μB.
Atoms (fractional coordinates):
O (0.0000, 0.5000, 0.0000)  -0.04
O (0.5000, 0.0000, 0.0000)  -0.04
Cr (0.5000, 0.5000, 0.5000)  3.65
Si (0.0000, 0.0000, 0.0000)  0.01
P (0.0000, 0.0000, 0.5000)  -0.29

=====

--- two ---
## CrSiPO2 (PBE with a Hubbard U)

Data for CrSiPO2 after structural relaxation.

Cell: 3.6451 3.6451 5.1715 Å, 90.00 90.00 90.00°
Last column: magnetic moment on the atom in μB.
Atoms (fractional coordinates):
P (0.0000, 0.0000, 0.5000)  -0.12
O (0.5000, 0.0000, 0.0000)  -0.22
O (0.0000, 0.5000, 0.0000)  -0.22
Cr (0.0000, 0.0000, 0.0000)  2.37
Si (0.5000, 0.5000, 0.5000)  0.02

=====

Stability verdict: one, ahead by 539 meV per atom

=====

--- one ---
## CrSnPO2 (PBE with a Hubbard U)

Data for CrSnPO2 after structural relaxation.

Cell: 3.8090 3.8090 5.0664 Å, 90.00 90.00 90.00°
Last column: magnetic moment on the atom in μB.
Atoms (fractional coordinates):
Sn (0.5000, 0.5000, 0.5000)  0.02
Cr (0.0000, 0.0000, 0.0000)  2.57
O (0.5000, 0.0000, 0.0000)  -0.20
O (0.0000, 0.5000, 0.0000)  -0.20
P (0.0000, 0.0000, 0.5000)  -0.13

=====

--- two ---
## CrSnPO2 (PBE with a Hubbard U)

Data for CrSnPO2 after structural relaxation.

Cell: 3.9219 3.9219 5.6321 Å, 90.00 90.00 90.00°
Last column: magnetic moment on the atom in μB.
Atoms (fractional coordinates):
O (0.0000, 0.5000, 0.0000)  -0.12
O (0.5000, 0.0000, 0.0000)  -0.12
Sn (0.0000, 0.0000, 0.0000)  -0.01
P (0.0000, 0.0000, 0.5000)  -0.35
Cr (0.5000, 0.5000, 0.5000)  3.92

=====

Stability verdict: one, ahead by 343 meV per atom

=====

--- one ---
## SrCrPO2 (PBE with a Hubbard U)

Data for SrCrPO2 after structural relaxation.

Cell: 4.0995 4.0995 4.6510 Å, 90.00 90.00 90.00°
Last column: magnetic moment on the atom in μB.
Atoms (fractional coordinates):
O (0.0000, 0.5000, 0.0000)  -0.23
O (0.5000, 0.0000, 0.0000)  -0.23
P (0.0000, 0.0000, 0.5000)  -0.45
Cr (0.0000, 0.0000, 0.0000)  2.75
Sr (0.5000, 0.5000, 0.5000)  -0.05

=====

--- two ---
## SrCrPO2 (PBE with a Hubbard U)

Data for SrCrPO2 after structural relaxation.

Cell: 4.4108 4.4108 6.3963 Å, 90.00 90.00 90.00°
Last column: magnetic moment on the atom in μB.
Atoms (fractional coordinates):
Sr (0.0000, 0.0000, 0.0000)  -0.09
O (0.5000, 0.0000, 0.0000)  -0.77
O (0.0000, 0.5000, 0.0000)  -0.77
Cr (0.5000, 0.5000, 0.5000)  4.17
P (0.0000, 0.0000, 0.5000)  -0.68

=====

Stability verdict: one, ahead by 1151 meV per atom

=====

--- one ---
## TaCrPO2 (PBE with a Hubbard U)

Data for TaCrPO2 after structural relaxation.

Cell: 3.7179 3.7179 4.9312 Å, 90.00 90.00 90.00°
Last column: magnetic moment on the atom in μB.
Atoms (fractional coordinates):
O (0.5000, 0.0000, 0.0000)  -0.15
O (0.0000, 0.5000, 0.0000)  -0.15
Ta (0.5000, 0.5000, 0.5000)  0.86
P (0.0000, 0.0000, 0.5000)  -0.10
Cr (0.0000, 0.0000, 0.0000)  2.81

=====

--- two ---
## TaCrPO2 (PBE with a Hubbard U)

Data for TaCrPO2 after structural relaxation.

Cell: 3.8759 3.8759 5.3079 Å, 90.00 90.00 90.00°
Last column: magnetic moment on the atom in μB.
Atoms (fractional coordinates):
Cr (0.5000, 0.5000, 0.5000)  3.94
Ta (0.0000, 0.0000, 0.0000)  -0.02
P (0.0000, 0.0000, 0.5000)  -0.11
O (0.0000, 0.5000, 0.0000)  0.01
O (0.5000, 0.0000, 0.0000)  0.01

=====

Stability verdict: two, ahead by 1034 meV per atom

=====

--- one ---
## CrTeP2O (PBE with a Hubbard U)

Data for CrTeP2O after structural relaxation.

Cell: 5.0203 5.0203 3.8862 Å, 90.00 90.00 90.00°
Last column: magnetic moment on the atom in μB.
Atoms (fractional coordinates):
Te (0.0000, 0.0000, 0.0000)  0.02
P (0.5000, 0.0000, 0.0000)  0.06
P (0.0000, 0.5000, 0.0000)  0.06
Cr (0.5000, 0.5000, 0.5000)  1.23
O (0.0000, 0.0000, 0.5000)  0.04

=====

--- two ---
## CrTeP2O (PBE with a Hubbard U)

Data for CrTeP2O after structural relaxation.

Cell: 4.9318 4.9318 3.6018 Å, 90.00 90.00 90.00°
Last column: magnetic moment on the atom in μB.
Atoms (fractional coordinates):
O (0.0000, 0.0000, 0.5000)  -0.32
P (0.0000, 0.5000, 0.0000)  -0.22
P (0.5000, 0.0000, 0.0000)  -0.22
Cr (0.0000, 0.0000, 0.0000)  2.73
Te (0.5000, 0.5000, 0.5000)  0.08

=====

Stability verdict: two, ahead by 1092 meV per atom

=====

--- one ---
## TiCrP2O (PBE with a Hubbard U)

Data for TiCrP2O after structural relaxation.

Cell: 4.7399 4.7399 3.5020 Å, 90.00 90.00 90.00°
Last column: magnetic moment on the atom in μB.
Atoms (fractional coordinates):
P (0.0000, 0.5000, 0.0000)  -0.16
P (0.5000, 0.0000, 0.0000)  -0.16
Cr (0.0000, 0.0000, 0.0000)  2.39
Ti (0.5000, 0.5000, 0.5000)  0.53
O (0.0000, 0.0000, 0.5000)  -0.28

=====

--- two ---
## TiCrP2O (PBE with a Hubbard U)

Data for TiCrP2O after structural relaxation.

Cell: 4.9117 4.9117 3.6687 Å, 90.00 90.00 90.00°
Last column: magnetic moment on the atom in μB.
Atoms (fractional coordinates):
O (0.0000, 0.0000, 0.5000)  -0.09
Ti (0.0000, 0.0000, 0.0000)  -0.07
P (0.5000, 0.0000, 0.0000)  -0.23
P (0.0000, 0.5000, 0.0000)  -0.23
Cr (0.5000, 0.5000, 0.5000)  4.11

=====

Stability verdict: two, ahead by 350 meV per atom